{"formula": "Ta2Ru2Se", "functional": "PBE-GGA", "state": "optimized geometry", "lattice_angstrom": [[7.586, 0.000, 0.000], [0.000, 7.586, 0.000], [0.000, 0.000, 3.006]], "species": ["Ru", "Ru", "Ru", "Ru", "Se", "Se", "Ta", "Ta", "Ta", "Ta"], "frac_coords": [[0.363, 0.863, 0.000], [0.863, 0.637, 0.000], [0.637, 0.137, 0.000], [0.137, 0.363, 0.000], [0.000, 0.000, 0.000], [0.500, 0.500, 0.000], [0.153, 0.653, 0.500], [0.653, 0.847, 0.500], [0.847, 0.347, 0.500], [0.347, 0.153, 0.500]], "relative_energy_mev_per_atom": 0, "n_ef_per_ev_cell": 5.03}


{"formula": "TaRu2Se", "functional": "PBE-GGA", "state": "optimized geometry", "lattice_angstrom": [[-2.586, 1.526, 0.194], [-1.114, -1.597, -2.295], [-2.394, -4.614, 4.373]], "species": ["Ru", "Ru", "Se", "Ta"], "frac_coords": [[0.000, 0.000, 0.008], [0.500, 0.500, 0.256], [0.000, 0.000, 0.494], [0.500, 0.500, 0.741]], "n_ef_per_ev_cell": 2.31}


{"formula": "TaRu2Se", "functional": "PBE-GGA", "state": "optimized geometry", "lattice_angstrom": [[-0.512, -0.812, -5.158], [-0.599, -4.945, -1.647], [-1.934, 3.865, 2.974]], "species": ["Ru", "Ru", "Se", "Ta"], "frac_coords": [[0.999, 0.999, 0.000], [0.725, 0.225, 0.500], [0.509, 0.509, 0.000], [0.267, 0.767, 0.500]], "n_ef_per_ev_cell": 3.53}


{"formula": "Ta3RuSe", "functional": "PBE-GGA", "state": "optimized geometry", "lattice_angstrom": [[4.646, 0.000, 0.000], [0.000, 4.646, 0.000], [0.000, 0.000, 4.646]], "species": ["Ru", "Se", "Ta", "Ta", "Ta"], "frac_coords": [[0.500, 0.500, 0.500], [0.000, 0.000, 0.000], [0.000, 0.500, 0.000], [0.000, 0.000, 0.500], [0.500, 0.000, 0.000]], "relative_energy_mev_per_atom": 37, "n_ef_per_ev_cell": 5.69}


{"formula": "TaRuSe6", "functional": "PBE-GGA", "state": "optimized geometry", "lattice_angstrom": [[-2.899, -4.901, -2.483], [-1.685, -5.066, 3.391], [-6.740, -1.720, 1.349]], "species": ["Ta", "Ru", "Se", "Se", "Se", "Se", "Se", "Se"], "frac_coords": [[0.500, 0.500, 0.500], [0.000, 0.000, 0.000], [0.035, 0.459, 0.755], [0.695, 0.085, 0.825], [0.580, 0.185, 0.317], [0.305, 0.915, 0.175], [0.965, 0.541, 0.245], [0.420, 0.815, 0.683]], "n_ef_per_ev_cell": 5.88}


{"formula": "TaRuSe2", "functional": "PBE-GGA", "state": "optimized geometry", "lattice_angstrom": [[-2.605, 2.657, -2.695], [-4.571, -0.452, 0.057], [-2.610, 3.294, 1.855]], "species": ["Ru", "Se", "Se", "Ta"], "frac_coords": [[0.500, 0.500, 0.500], [0.000, 0.000, 0.000], [0.750, 0.750, 0.750], [0.250, 0.250, 0.250]], "relative_energy_mev_per_atom": 813, "n_ef_per_ev_cell": 7.29}


no.,formation energy (no corrections) (eV per atom)
1,-0.056
2,0.037
3,-0.020
4,1.131
5,-0.237
6,0.417